First-principles (GGA-PBE) data for an optimized crystal structure of CaEr2Ga9, as listed in the Alexandria database.

Cell and atoms, written as extended XYZ:
```
12
Lattice="-2.556 1.548 -3.063 1.295 -3.102 -2.649 -9.530 -7.523 4.150" Properties=species:S:1:pos:R:3 pbc="T T T"
Ca 0.000 0.000 0.000
Er -3.206 -2.531 1.396
Er -6.323 -4.992 2.753
Ga -0.631 -0.777 -2.856
Ga -3.806 -3.284 -1.473
Ga -6.984 -5.793 -0.089
Ga -2.889 -0.497 -0.830
Ga -6.043 -2.987 0.543
Ga -9.197 -5.478 1.917
Ga -0.963 -2.822 -0.623
Ga -4.117 -5.312 0.750
Ga -7.272 -7.803 2.124
```

Properties
energy = -3.652 eV per atom
calculated volume = 19.6 Å³/atom
symmetry = P4/mmm, No. 123
calculated density = 7.1 Mg/m³